Computed, not measured: CsK4Rb7 after structural relaxation at the PBE-GGA level of DFT.

Output
Crystal system ... monoclinic
V ... 1092.8 Å³ per cell
Space-group type ... C2/m
M_tot ... 0.0 μB per formula unit
Energy relative to the elements ... 66 kJ/mol of formula units
Calculated total energy ... -0.9440 eV per atom

Unit cell a=8.4708 b=14.7905 c=10.0474 alpha=81.07 beta=65.07 gamma=73.36
With the nearest neighbours (Å) after each atom.
Element x y z (fractional)
Cs 0.0000 0.0000 0.0000  2 Rb 4.24
K 0.5760 0.2241 0.6239  7 Rb 4.39-4.86, 1 K 4.53
K 0.4240 0.7759 0.3761  7 Rb 4.39-4.86, 1 K 4.53
K 0.7057 0.6828 0.9058  1 K 4.53, 6 Rb 4.61-4.73
K 0.2943 0.3172 0.0942  1 K 4.53, 6 Rb 4.61-4.73
Rb 0.7877 0.9051 0.5195  4 Rb 4.63-5.02, 4 K 4.63-4.82, 1 Cs 4.87
Rb 0.2123 0.0949 0.4805  4 Rb 4.63-5.02, 4 K 4.63-4.82, 1 Cs 4.87
Rb 0.0463 0.6206 0.2867  5 Rb 4.63-5.08, 3 K 4.71-4.86
Rb 0.9537 0.3794 0.7133  5 Rb 4.63-5.08, 3 K 4.71-4.86
Rb 0.3360 0.5741 0.7539  4 K 4.39-4.73
Rb 0.5000 0.0000 0.0000  2 Cs 4.24, 4 K 4.58-4.61, 2 Rb 4.63
Rb 0.6640 0.4259 0.2461  4 K 4.39-4.73